No. 1
A relaxed structure of Li2SbMo, computed with PBE-GGA.

Cell: 2.8471 2.8471 9.0144 Å, 90.00 90.00 90.00°
Site moments in Bohr magnetons follow the coordinates.
Fractional positions:
Li 0.0000 0.0000 0.0036  0.00
Li 0.0000 0.0000 0.4964  0.00
Mo 0.5000 0.5000 0.2500  0.28
Sb 0.5000 0.5000 0.7500  0.01

Summary:
Final energy   -17.56 eV per cell

***

No. 2
A relaxed structure of Ba3NpGe2O9, computed with PBE-GGA.

Cell: 5.8491 5.8491 7.1968 Å, 90.00 90.00 120.00°
Site moments in Bohr magnetons follow the coordinates.
Fractional positions:
Ba 0.3333 0.6667 0.6856  0.01
Ba 0.0000 0.0000 0.0000  0.00
Ba 0.6667 0.3333 0.3144  0.01
Np 0.0000 0.0000 0.5000  2.55
Ge 0.3333 0.6667 0.1601  0.02
Ge 0.6667 0.3333 0.8399  0.02
O 0.8252 0.1748 0.6759  -0.03
O 0.8252 0.6504 0.6759  -0.03
O 0.3496 0.1748 0.6759  -0.03
O 0.6504 0.8252 0.3241  -0.03
O 0.1748 0.3496 0.3241  -0.03
O 0.1748 0.8252 0.3241  -0.03
O 0.5000 0.0000 0.0000  0.00
O 0.0000 0.5000 0.0000  0.00
O 0.5000 0.5000 0.0000  0.00

Summary:
Final energy   -108.47 eV per cell

***

No. 3
A relaxed structure of CoSb2TeBr, computed with PBE-GGA.

Cell: 5.4408 5.4408 5.6824 Å, 90.00 90.00 90.00°
Site moments in Bohr magnetons follow the coordinates.
Fractional positions:
Sb 0.0000 0.5000 0.0000  0.00
Sb 0.5000 0.0000 0.0000  0.00
Te 0.0000 0.0000 0.5000  0.07
Co 0.5000 0.5000 0.5000  2.22
Br 0.0000 0.0000 0.0000  0.00

Summary:
Excess energy over the best structure of this formula in the dataset   1.173 eV/atom

***

No. 4
A relaxed structure of SrLi2ZnPd, computed with PBE-GGA.

Cell: 4.7874 4.7874 4.9746 Å, 90.00 90.00 90.00°
Fractional positions:
Sr 0.5000 0.5000 0.5000
Zn 0.0000 0.0000 0.0000
Pd 0.0000 0.0000 0.5000
Li 0.0000 0.5000 0.0000
Li 0.5000 0.0000 0.0000

Summary:
Excess energy over the best structure of this formula in the dataset   0.064 eV/atom
Calculated formation energy   -0.87 eV per formula unit

***

No. 5
A relaxed structure of K2PaI8, computed with PBE-GGA.

Cell: 6.8059 9.7943 9.7943 Å, 82.85 79.24 79.24°
Site moments in Bohr magnetons follow the coordinates.
Fractional positions:
K 0.1056 0.2908 0.2908  0.00
K 0.8944 0.7092 0.7092  0.00
Pa 0.0000 0.0000 0.0000  0.11
I 0.7975 0.0799 0.7539  0.00
I 0.2025 0.2461 0.9201  0.00
I 0.6708 0.1762 0.1762  0.00
I 0.3292 0.8238 0.8238  0.00
I 0.7975 0.7539 0.0799  0.00
I 0.2025 0.9201 0.2461  0.00
I 0.2564 0.4986 0.4986  0.00
I 0.7436 0.5014 0.5014  0.00

Summary:
Final energy   -35.27 eV per cell

***

No. 6
A relaxed structure of Nd6SmDy4, computed with PBE-GGA.

Cell: 7.5796 7.5796 8.6880 Å, 115.86 115.86 90.00°
Fractional positions:
Nd 0.9158 0.4601 0.3759
Nd 0.4601 0.9158 0.3759
Nd 0.5399 0.5399 0.6241
Nd 0.0000 0.5000 0.0000
Nd 0.0842 0.0842 0.6241
Nd 0.5000 0.0000 0.0000
Sm 0.5000 0.5000 0.0000
Dy 0.0838 0.7552 0.8389
Dy 0.9162 0.9162 0.1611
Dy 0.7552 0.0838 0.8389
Dy 0.2448 0.2448 0.1611

Summary:
Excess energy over the best structure of this formula in the dataset   0.245 eV/atom
Calculated formation energy   3.92 eV per formula unit

***

No. 7
A relaxed structure of AlGaHg, computed with PBE-GGA.

Cell: 4.5777 4.5777 10.1282 Å, 90.00 90.00 120.00°
Fractional positions:
Hg 0.3333 0.6667 0.2500
Hg 0.6667 0.3333 0.7500
Ga 0.0000 0.0000 0.0000
Ga 0.0000 0.0000 0.5000
Al 0.0000 0.0000 0.2500
Al 0.0000 0.0000 0.7500

Summary:
Calculated formation energy   1.29 eV per formula unit

***

No. 8
A relaxed structure of PrCuAgSn2, computed with PBE-GGA.

Cell: 4.4820 4.4820 6.6214 Å, 109.78 109.78 90.00°
Fractional positions:
Pr 0.0000 0.0000 0.0000
Cu 0.2500 0.7500 0.5000
Ag 0.7500 0.2500 0.5000
Sn 0.6209 0.6209 0.2419
Sn 0.3791 0.3791 0.7581

Summary:
Calculated formation energy   -1.81 eV per formula unit